1.
A geometry-optimized PuPaPd2 structure, computed with PBE.

Unit cell a=4.6369 b=4.6369 c=3.9655 alpha=90.00 beta=90.00 gamma=90.00
Last column: nearest neighbours and their distance in Å.
Atoms (fractional coordinates):
Pu (0.0000, 0.0000, 0.0000)  8 Pd 3.05, 4 Pa 3.28
Pa (0.5000, 0.5000, 0.0000)  8 Pd 3.05, 4 Pu 3.28
Pd (0.0000, 0.5000, 0.5000)  4 Pu 3.05, 4 Pa 3.05, 4 Pd 3.28
Pd (0.5000, 0.0000, 0.5000)  4 Pu 3.05, 4 Pa 3.05, 4 Pd 3.28

## Properties
The density comes out at 13.40 g/cm³. As for the space group: P4/mmm (123). For the energy of formation, the calculation gives -1.44 eV/f.u.



2.
A geometry-optimized Y2GaN2 structure, computed with PBE.

Unit cell a=7.0998 b=7.0998 c=3.1851 alpha=90.00 beta=90.00 gamma=90.00
Last column: nearest neighbours and their distance in Å.
Atoms (fractional coordinates):
Y (0.1557, 0.3443, 0.0000)  2 N 2.39
Y (0.3443, 0.8443, 0.0000)  2 N 2.39
Y (0.6557, 0.1557, 0.0000)  2 N 2.39
Y (0.8443, 0.6557, 0.0000)  2 N 2.39
Ga (0.0000, 0.0000, 0.0000)  4 Y 2.68
Ga (0.5000, 0.5000, 0.0000)  4 Y 2.68
N (0.1662, 0.6662, 0.5000)  2 Y 2.39
N (0.3338, 0.1662, 0.5000)  2 Y 2.39
N (0.6662, 0.8338, 0.5000)  2 Y 2.39
N (0.8338, 0.3338, 0.5000)  2 Y 2.39

## Properties
The density comes out at 5.70 g/cm³. The value obtained for the uncorrected formation energy is -0.290 eV/atom. As for the space group: P4/mbm (127).



Ordered raw total energy results: -8.9146, -6.8113; unit eV per atom.
Ordered calculated volume results: 85.3, 160.5; unit Å³ per cell.